Here is Li8Tl2Pb after structural relaxation from Alexandria. Energies are from GGA-PBE.

Values from the calculation:
Volume (Å³ per cell): 212.1
ΔH_f (0 K) (kcal/mol of atoms): -4.12
Total energy (eV/atom): -2.34

extended XYZ file:
```
11
Lattice="4.790 -0.535 -0.803 -1.543 7.762 -1.006 -1.543 -3.918 6.776" Properties=species:S:1:pos:R:3 pbc="T T T"
Li 2.072 1.277 1.917
Li -0.368 2.032 3.049
Li 0.254 2.183 0.162
Li 0.852 -1.779 4.771
Li 1.449 4.000 2.889
Li 0.254 -0.691 2.077
Li 0.852 5.088 0.196
Li 1.449 1.126 4.805
Tl -1.543 4.098 1.435
Tl -1.543 -0.254 4.334
Pb 2.395 -0.267 -0.401
```

=====

Here is SmGa3CuIr after structural relaxation from Alexandria. Energies are from GGA-PBE.

Values from the calculation:
Volume (Å³ per cell): 227.3
ΔH_f (0 K) (kcal/mol of atoms): -7.38
Total energy (eV/atom): -4.78

extended XYZ file:
```
12
Lattice="-3.066 -1.911 5.219 0.837 -5.846 -1.649 4.634 2.819 3.755" Properties=species:S:1:pos:R:3 pbc="T T T"
Ga 0.239 -1.668 -0.471
Ga -1.294 -2.624 2.139
Ga -0.935 -5.133 1.431
Ga 1.480 -4.425 5.039
Ga 0.925 -0.512 2.285
Ga 0.598 -4.177 -1.179
Cu 4.308 -3.496 3.180
Cu -1.903 -1.442 4.144
Sm 0.531 -1.491 5.556
Sm 1.874 -3.446 1.769
Ir -0.604 -4.382 3.830
Ir 3.009 -0.555 3.494
```

=====

Here is HfCuAs2Os after structural relaxation from Alexandria. Energies are from GGA-PBE.

Values from the calculation:
Volume (Å³ per cell): 114.1
ΔH_f (0 K) (kcal/mol of atoms): 17.02
Total energy (eV/atom): -6.18

extended XYZ file:
```
5
Lattice="-1.003 -4.568 0.209 4.924 -1.019 1.349 -1.143 0.457 4.517" Properties=species:S:1:pos:R:3 pbc="T T T"
Hf 2.462 -0.510 0.675
Cu 1.389 -2.565 3.038
As -0.572 0.229 2.258
As -0.501 -2.284 0.104
Os 0.000 0.000 0.000
```